# 1
CuMoRh: relaxed, PBE-GGA.

a b c (Å): 6.9842 6.7854 2.6624
angles (deg): 83.08 74.68 22.24
Last column: nearest neighbours and their distance in Å.
Fractional coordinates of all 3 atoms:
Mo  0.3327  0.3327  0.6673  2 Rh 2.65, 6 Mo 2.66-2.95, 2 Cu 2.67
Cu  0.0004  0.0004  0.9996  2 Rh 2.65, 6 Cu 2.66-2.95, 2 Mo 2.67
Rh  0.6669  0.6669  0.3331  2 Mo 2.65, 2 Cu 2.65, 6 Rh 2.66-2.95

Properties
Energy of formation from the pure elements   0.5 eV/f.u.
VASP energy   -7.252 eV/atom
Theoretical density   10.06 Mg/m³
Total magnetization   0.000 μB/cell

=====

# 2
CuMoRh4: relaxed, PBE-GGA.

a b c (Å): 2.7325 4.7552 7.1290
angles (deg): 97.01 78.95 73.30
Last column: nearest neighbours and their distance in Å.
Fractional coordinates of all 6 atoms:
Mo  0.0000  0.0000  0.0000  10 Rh 2.69-2.73, 2 Mo 2.73
Rh  0.3300  0.0072  0.3327  2 Mo 2.69, 3 Cu 2.70-2.78, 7 Rh 2.72-2.74
Rh  0.8338  0.4978  0.8346  7 Rh 2.68-2.74, 2 Cu 2.71, 3 Mo 2.73
Cu  0.5000  0.5000  0.5000  10 Rh 2.70-2.78, 2 Cu 2.73
Rh  0.6700  0.9928  0.6673  2 Mo 2.69, 3 Cu 2.70-2.78, 7 Rh 2.72-2.74
Rh  0.1662  0.5022  0.1654  7 Rh 2.68-2.74, 2 Cu 2.71, 3 Mo 2.73

Properties
Energy of formation from the pure elements   -0.1 eV/f.u.
VASP energy   -7.413 eV/atom
Theoretical density   11.09 Mg/m³
Total magnetization   0.000 μB/cell

=====

# 3
CuMoRh: relaxed, PBE-GGA.

a b c (Å): 4.1395 4.1395 4.1395
angles (deg): 60.00 60.00 60.00
Last column: nearest neighbours and their distance in Å.
Fractional coordinates of all 3 atoms:
Mo  0.5000  0.5000  0.5000  4 Rh 2.53
Rh  0.7500  0.7500  0.7500  4 Mo 2.53, 4 Cu 2.53
Cu  0.0000  0.0000  0.0000  4 Rh 2.53

Properties
Energy of formation from the pure elements   1.5 eV/f.u.
VASP energy   -6.929 eV/atom
Theoretical density   8.69 Mg/m³
Total magnetization   0.002 μB/cell

=====

# 4
Cu2MoRh6: relaxed, PBE-GGA.

a b c (Å): 3.6520 7.7043 7.7044
angles (deg): 41.09 76.29 76.29
Last column: nearest neighbours and their distance in Å.
Fractional coordinates of all 9 atoms:
Rh  0.6821  0.5615  0.0743  5 Rh 2.52-2.77, 2 Cu 2.64, 2 Mo 2.69-2.70
Cu  0.0837  0.4162  0.4162  8 Rh 2.64, 2 Mo 2.70, 1 Cu 2.79
Cu  0.8838  0.6161  0.6161  8 Rh 2.58-2.70, 1 Cu 2.79
Mo  0.0807  0.9194  0.9194  8 Rh 2.61-2.70, 2 Cu 2.70
Rh  0.3063  0.4210  0.9664  4 Rh 2.46-2.53, 2 Cu 2.58-2.59
Rh  0.3063  0.9664  0.4210  4 Rh 2.46-2.53, 2 Cu 2.58-2.59
Rh  0.4875  0.7641  0.2610  4 Rh 2.53-2.72, 2 Mo 2.61, 4 Cu 2.64-2.70
Rh  0.4875  0.2610  0.7641  4 Rh 2.53-2.72, 2 Mo 2.61, 4 Cu 2.64-2.70
Rh  0.6821  0.0743  0.5615  5 Rh 2.52-2.77, 2 Cu 2.64, 2 Mo 2.69-2.70

Properties
Energy of formation from the pure elements   2.7 eV/f.u.
VASP energy   -6.710 eV/atom
Theoretical density   10.13 Mg/m³
Total magnetization   0.000 μB/cell

=====

# 5
CuMoRh: relaxed, PBE-GGA.

a b c (Å): 4.6398 4.6398 4.6398
angles (deg): 145.57 131.39 60.93
Last column: nearest neighbours and their distance in Å.
Fractional coordinates of all 3 atoms:
Mo  0.3342  0.3342  0.0000  5 Rh 2.65-2.71, 5 Cu 2.67-2.70, 2 Mo 2.75
Rh  0.6655  0.6655  0.0000  5 Mo 2.65-2.71, 5 Cu 2.68-2.70, 2 Rh 2.75
Cu  0.0003  0.0003  0.0000  5 Mo 2.67-2.70, 5 Rh 2.68-2.70, 2 Cu 2.75

Properties
Energy of formation from the pure elements   -0.2 eV/f.u.
VASP energy   -7.477 eV/atom
Theoretical density   10.39 Mg/m³
Total magnetization   0.000 μB/cell

=====

# 6
CuMo3Rh: relaxed, PBE-GGA.

a b c (Å): 4.6851 4.6851 4.6851
angles (deg): 90.00 90.00 90.00
Last column: nearest neighbours and their distance in Å.
Fractional coordinates of all 5 atoms:
Rh  0.0000  0.0000  0.0000  6 Mo 2.34
Mo  0.0000  0.0000  0.5000  2 Rh 2.34
Cu  0.5000  0.5000  0.5000  12 Mo 3.31
Mo  0.5000  0.0000  0.0000  2 Rh 2.34
Mo  0.0000  0.5000  0.0000  2 Rh 2.34

Properties
Energy of formation from the pure elements   9.2 eV/f.u.
VASP energy   -6.953 eV/atom
Theoretical density   7.34 Mg/m³
Total magnetization   0.000 μB/cell